# KSrTc2

A geometry-optimized KSrTc2 structure (PBE, Alexandria via LeMat-Bulk).

The structure in CIF format:
```
data_KSrTc2
_cell_length_a 2.9010
_cell_length_b 5.3933
_cell_length_c 7.3269
_cell_angle_alpha 90.00
_cell_angle_beta 90.72
_cell_angle_gamma 90.00
_symmetry_space_group_name_H-M 'P 1 2/m 1'
_symmetry_Int_Tables_number 10
loop_
_symmetry_equiv_pos_as_xyz
'x,y,z'
'-x,-y,-z'
'-x,y,-z'
'x,-y,z'
loop_
_atom_site_label
_atom_site_type_symbol
_atom_site_fract_x
_atom_site_fract_y
_atom_site_fract_z
K1 K 0.0000 0.0000 0.0000
Sr1 Sr 0.0000 0.0000 0.5000
Tc1 Tc 0.4934 0.5000 0.3493
```

Results
energy of formation from the pure elements = 0.9998 eV per atom
energy relative to the lowest polymorph listed for this composition = 484 meV/atom
E_tot = -4.88 eV/atom

---

# KSrTc2

A geometry-optimized KSrTc2 structure (PBE, Alexandria via LeMat-Bulk).

The structure in CIF format:
```
data_KSrTc2
_cell_length_a 7.1396
_cell_length_b 4.1129
_cell_length_c 9.5079
_cell_angle_alpha 90.00
_cell_angle_beta 102.98
_cell_angle_gamma 90.00
_symmetry_space_group_name_H-M 'C 1 m 1'
_symmetry_Int_Tables_number 8
loop_
_symmetry_equiv_pos_as_xyz
'x,y,z'
'x,-y,z'
'x+1/2,y+1/2,z'
'x+1/2,-y+1/2,z'
loop_
_atom_site_label
_atom_site_type_symbol
_atom_site_fract_x
_atom_site_fract_y
_atom_site_fract_z
K1 K 0.0000 0.0000 0.0000
Sr1 Sr 0.1648 0.0000 0.5481
Tc1 Tc 0.2510 0.5000 0.2811
Tc2 Tc 0.4266 0.0000 0.3105
```

Results
energy of formation from the pure elements = 0.5153 eV per atom
energy relative to the lowest polymorph listed for this composition = 0 meV/atom
E_tot = -5.36 eV/atom

---

# KSr2Tc2

A geometry-optimized KSr2Tc2 structure (PBE, Alexandria via LeMat-Bulk).

The structure in CIF format:
```
data_KSr2Tc2
_cell_length_a 6.1082
_cell_length_b 6.1082
_cell_length_c 9.5247
_cell_angle_alpha 90.00
_cell_angle_beta 90.00
_cell_angle_gamma 90.00
_symmetry_space_group_name_H-M 'I 4/m m m'
_symmetry_Int_Tables_number 139
_symmetry_space_group_name_Hall '-I 4 2'
loop_
_atom_site_label
_atom_site_type_symbol
_atom_site_fract_x
_atom_site_fract_y
_atom_site_fract_z
K1 K 0.0000 0.0000 0.0000
Sr1 Sr 0.0000 0.5000 0.2500
Tc1 Tc 0.0000 0.0000 0.3884
```

Results
energy of formation from the pure elements = 0.9873 eV per atom
E_tot = -4.05 eV/atom

---

# KSrTc2

A geometry-optimized KSrTc2 structure (PBE, Alexandria via LeMat-Bulk).

The structure in CIF format:
```
data_KSrTc2
_cell_length_a 2.9605
_cell_length_b 2.9605
_cell_length_c 34.0804
_cell_angle_alpha 90.00
_cell_angle_beta 90.00
_cell_angle_gamma 120.00
_symmetry_space_group_name_H-M 'R -3 m'
_symmetry_Int_Tables_number 166
_symmetry_space_group_name_Hall '-R 3 2"'
loop_
_atom_site_label
_atom_site_type_symbol
_atom_site_fract_x
_atom_site_fract_y
_atom_site_fract_z
K1 K 0.0000 0.0000 0.0000
Sr1 Sr 0.0000 0.0000 0.5000
Tc1 Tc 0.0000 0.0000 0.2465
```

Results
energy of formation from the pure elements = 1.4453 eV per atom
energy relative to the lowest polymorph listed for this composition = 930 meV/atom
E_tot = -4.43 eV/atom

---

# KSrTc2

A geometry-optimized KSrTc2 structure (PBE, Alexandria via LeMat-Bulk).

The structure in CIF format:
```
data_KSrTc2
_cell_length_a 7.0345
_cell_length_b 7.0345
_cell_length_c 7.0345
_cell_angle_alpha 90.00
_cell_angle_beta 90.00
_cell_angle_gamma 90.00
_symmetry_space_group_name_H-M 'F -4 3 m'
_symmetry_Int_Tables_number 216
_symmetry_space_group_name_Hall 'F -4 2 3'
loop_
_atom_site_label
_atom_site_type_symbol
_atom_site_fract_x
_atom_site_fract_y
_atom_site_fract_z
K1 K 0.0000 0.0000 0.0000
Sr1 Sr 0.2500 0.2500 0.2500
Tc1 Tc 0.0000 0.0000 0.5000
Tc2 Tc 0.2500 0.2500 0.7500
```

Results
energy of formation from the pure elements = 1.3525 eV per atom
energy relative to the lowest polymorph listed for this composition = 837 meV/atom
E_tot = -4.53 eV/atom

---

# KSrTc

A geometry-optimized KSrTc structure (PBE, Alexandria via LeMat-Bulk).

The structure in CIF format:
```
data_KSrTc
_cell_length_a 7.8281
_cell_length_b 7.8281
_cell_length_c 7.8281
_cell_angle_alpha 90.00
_cell_angle_beta 90.00
_cell_angle_gamma 90.00
_symmetry_space_group_name_H-M 'F -4 3 m'
_symmetry_Int_Tables_number 216
_symmetry_space_group_name_Hall 'F -4 2 3'
loop_
_atom_site_label
_atom_site_type_symbol
_atom_site_fract_x
_atom_site_fract_y
_atom_site_fract_z
K1 K 0.0000 0.0000 0.0000
Sr1 Sr 0.0000 0.0000 0.5000
Tc1 Tc 0.2500 0.2500 0.7500
```

Results
energy of formation from the pure elements = 1.4291 eV per atom
energy relative to the lowest polymorph listed for this composition = 338 meV/atom
E_tot = -2.95 eV/atom

---

Which of these has the lowest energy of formation from the pure elements?
number 2

---

What is the formula in the fourth record?
KSrTc2